(1)
Entry from the Alexandria database: a relaxed structure of K2LaSe (GGA-PBE).

Cell lengths 12.5231, 12.5231, 12.5231 Å; angles 19.15, 19.15, 19.15 degrees
Last column: nearest neighbours and their distance in Å.
Fractional coordinates of all 4 atoms:
Se 0.7500 0.7500 0.7500  6 K 3.10
K 0.0304 0.0304 0.0304  3 Se 3.10
K 0.4696 0.4696 0.4696  3 Se 3.10
La 0.2500 0.2500 0.2500  6 La 4.17

Calculated values
The uncorrected formation energy is -0.6 eV per formula unit. The value obtained for the total energy is -11.24 eV/cell. As for the crystal system: trigonal.

=====

(2)
Entry from the Alexandria database: a relaxed structure of NaRu2C (GGA-PBE).

Cell lengths 6.6755, 6.6755, 5.3194 Å; angles 51.14, 51.14, 90.00 degrees
Last column: nearest neighbours and their distance in Å.
Fractional coordinates of all 8 atoms:
Ru 0.3750 0.4812 0.7500  2 C 2.02
Ru 0.8750 0.7688 0.7500  2 C 2.02
Na 0.0000 0.0000 0.0000  2 C 2.45, 4 Ru 2.66
Ru 0.2312 0.6250 0.2500  2 C 2.02
Ru 0.5188 0.1250 0.2500  2 C 2.02
Na 0.7500 0.2500 0.5000  2 C 2.45, 4 Ru 2.66
C 0.5000 0.5000 0.0000  4 Ru 2.02
C 0.2500 0.7500 0.5000  4 Ru 2.02

Calculated values
The calculation puts the calculated formation energy at 2.674 eV per formula unit. The value obtained for the total energy is -52.84 eV/cell. As for the crystal system: tetragonal.

=====

| no. | spin magnetization (μB/atom) |
| --- | --- |
| 1 | 0.449 |
| 2 | 0.000 |